Below is a relaxed structure of La3Tb2Er5, with properties calculated at the PBE level.

a b c (Å): 9.7689 9.7689 9.3160
angles (deg): 108.08 108.08 114.04
Fractional coordinates of all 20 atoms:
La 0.0176 0.2700 0.0468
La 0.2356 0.7644 0.7500
La 0.2700 0.0176 0.5468
La 0.7300 0.9824 0.4532
La 0.7644 0.2356 0.2500
La 0.9824 0.7300 0.9532
Tb 0.2331 0.4658 0.4557
Tb 0.4658 0.2331 0.9557
Tb 0.5342 0.7669 0.0443
Tb 0.7669 0.5342 0.5443
Er 0.0250 0.9750 0.7500
Er 0.1511 0.3739 0.7733
Er 0.2748 0.7252 0.2500
Er 0.3739 0.1511 0.2733
Er 0.4705 0.5295 0.2500
Er 0.5295 0.4705 0.7500
Er 0.6261 0.8489 0.7267
Er 0.7252 0.2748 0.7500
Er 0.8489 0.6261 0.2267
Er 0.9750 0.0250 0.2500

Summary:
- Formation energy: 182.7 kJ/mol of formula units
- Symmetry: C2/c (15)
- Mass density: 7.821 g/cm3
- VASP energy: -89.928 eV per cell

---

Below is a relaxed structure of LaTb7Er12, with properties calculated at the PBE level.

a b c (Å): 9.5288 9.5288 9.5288
angles (deg): 110.83 110.83 110.83
Fractional coordinates of all 20 atoms:
La 0.0000 0.0000 0.0000
Tb 0.2305 0.5977 0.6577
Tb 0.3423 0.7695 0.4023
Tb 0.4023 0.3423 0.7695
Tb 0.5000 0.5000 0.5000
Tb 0.5977 0.6577 0.2305
Tb 0.6577 0.2305 0.5977
Tb 0.7695 0.4023 0.3423
Er 0.0348 0.3407 0.2108
Er 0.0841 0.8710 0.5717
Er 0.1290 0.4283 0.9159
Er 0.2108 0.0348 0.3407
Er 0.3407 0.2108 0.0348
Er 0.4283 0.9159 0.1290
Er 0.5717 0.0841 0.8710
Er 0.6593 0.7892 0.9652
Er 0.7892 0.9652 0.6593
Er 0.8710 0.5717 0.0841
Er 0.9159 0.1290 0.4283
Er 0.9652 0.6593 0.7892

Summary:
- Formation energy: 264.9 kJ/mol of formula units
- Symmetry: R-3 (148)
- Mass density: 8.585 g/cm3
- VASP energy: -89.348 eV per cell

---

Below is a relaxed structure of La3Tb7Er2, with properties calculated at the PBE level.

a b c (Å): 12.0230 12.0230 12.0230
angles (deg): 31.64 31.64 31.64
Fractional coordinates of all 12 atoms:
La 0.0000 0.0000 0.0000
La 0.1558 0.1558 0.1558
La 0.8442 0.8442 0.8442
Tb 0.0825 0.5835 0.5835
Tb 0.4165 0.4165 0.9175
Tb 0.4165 0.9175 0.4165
Tb 0.5000 0.5000 0.5000
Tb 0.5835 0.0825 0.5835
Tb 0.5835 0.5835 0.0825
Tb 0.9175 0.4165 0.4165
Er 0.3333 0.3333 0.3333
Er 0.6667 0.6667 0.6667

Summary:
- Formation energy: 311.7 kJ/mol of formula units
- Symmetry: R-3m (166)
- Mass density: 7.285 g/cm3
- VASP energy: -53.090 eV per cell

---

Below is a relaxed structure of La2TbEr3, with properties calculated at the PBE level.

a b c (Å): 6.2207 8.0473 8.8318
angles (deg): 111.66 90.18 104.79
Fractional coordinates of all 12 atoms:
La 0.1242 0.1255 0.3752
La 0.3755 0.3749 0.1252
La 0.6245 0.6251 0.8748
La 0.8758 0.8745 0.6248
Tb 0.4618 0.1238 0.7081
Tb 0.5382 0.8762 0.2919
Er 0.0386 0.3775 0.7929
Er 0.2104 0.8728 0.9579
Er 0.2883 0.6261 0.5425
Er 0.7117 0.3739 0.4575
Er 0.7896 0.1272 0.0421
Er 0.9614 0.6225 0.2071

Summary:
- Relative energy among the computed polymorphs: 0.00 eV/f.u.
- Formation energy: 17.5 kJ/mol of formula units
- Symmetry: P-1 (2)
- Mass density: 7.892 g/cm3
- VASP energy: -55.986 eV per cell

---

Below is a relaxed structure of La7Tb3Er, with properties calculated at the PBE level.

a b c (Å): 10.0906 10.0906 11.7206
angles (deg): 90.00 90.00 41.40
Fractional coordinates of all 22 atoms:
La 0.0899 0.5841 0.5315
La 0.0899 0.5841 0.9685
La 0.1723 0.6534 0.2500
La 0.2357 0.7643 0.7500
La 0.3466 0.8277 0.2500
La 0.4159 0.9101 0.5315
La 0.4159 0.9101 0.9685
La 0.5841 0.0899 0.0315
La 0.5841 0.0899 0.4685
La 0.6534 0.1723 0.7500
La 0.7643 0.2357 0.2500
La 0.8277 0.3466 0.7500
La 0.9101 0.4159 0.0315
La 0.9101 0.4159 0.4685
Tb 0.2425 0.2493 0.7500
Tb 0.2493 0.2425 0.2500
Tb 0.5000 0.5000 0.0000
Tb 0.5000 0.5000 0.5000
Tb 0.7507 0.7575 0.7500
Tb 0.7575 0.7507 0.2500
Er 0.0000 0.0000 0.0000
Er 0.0000 0.0000 0.5000

Summary:
- Relative energy among the computed polymorphs: 0.00 eV/f.u.
- Formation energy: 135.8 kJ/mol of formula units
- Symmetry: Cmcm (63)
- Mass density: 6.802 g/cm3
- VASP energy: -103.076 eV per cell

---

Below is a relaxed structure of La16Tb7Er6, with properties calculated at the PBE level.

a b c (Å): 11.4594 11.4594 11.4594
angles (deg): 60.00 60.00 60.00
Fractional coordinates of all 29 atoms:
La 0.0545 0.6485 0.6485
La 0.1249 0.1249 0.1249
La 0.1249 0.1249 0.6254
La 0.1249 0.6254 0.1249
La 0.3515 0.3515 0.3515
La 0.3515 0.3515 0.9455
La 0.3515 0.9455 0.3515
La 0.3746 0.8751 0.8751
La 0.6254 0.1249 0.1249
La 0.6485 0.0545 0.6485
La 0.6485 0.6485 0.0545
La 0.6485 0.6485 0.6485
La 0.8751 0.3746 0.8751
La 0.8751 0.8751 0.3746
La 0.8751 0.8751 0.8751
La 0.9455 0.3515 0.3515
Tb 0.0000 0.0000 0.0000
Tb 0.0000 0.0000 0.5000
Tb 0.0000 0.5000 0.0000
Tb 0.0000 0.5000 0.5000
Tb 0.5000 0.0000 0.0000
Tb 0.5000 0.0000 0.5000
Tb 0.5000 0.5000 0.0000
Er 0.2596 0.2596 0.7404
Er 0.2596 0.7404 0.2596
Er 0.2596 0.7404 0.7404
Er 0.7404 0.2596 0.2596
Er 0.7404 0.2596 0.7404
Er 0.7404 0.7404 0.2596

Summary:
- Formation energy: 547.2 kJ/mol of formula units
- Symmetry: Fm-3m (225)
- Mass density: 6.771 g/cm3
- VASP energy: -132.956 eV per cell

---

Below is a relaxed structure of LaTb2Er4, with properties calculated at the PBE level.

a b c (Å): 6.0225 8.4971 9.8240
angles (deg): 85.22 72.91 69.51
Fractional coordinates of all 14 atoms:
La 0.0000 0.0000 0.0000
La 0.2883 0.1397 0.2802
Tb 0.1759 0.6375 0.7784
Tb 0.1863 0.5705 0.1408
Tb 0.8904 0.5040 0.5038
Tb 0.9905 0.0707 0.6404
Er 0.3604 0.7146 0.4199
Er 0.3846 0.2216 0.9134
Er 0.4381 0.2829 0.5610
Er 0.5656 0.8578 0.7186
Er 0.6118 0.7759 0.0637
Er 0.7396 0.3655 0.2185
Er 0.7738 0.4271 0.8633
Er 0.8126 0.9188 0.3673

Summary:
- Relative energy among the computed polymorphs: 0.26 eV/f.u.
- Formation energy: 52.9 kJ/mol of formula units
- Symmetry: P1 (1)
- Mass density: 8.308 g/cm3
- VASP energy: -63.782 eV per cell

---

Below is a relaxed structure of La4Tb6Er, with properties calculated at the PBE level.

a b c (Å): 9.7025 9.7025 9.7025
angles (deg): 138.98 138.98 59.41
Fractional coordinates of all 11 atoms:
La 0.1324 0.1324 0.6197
La 0.4872 0.8676 0.0000
La 0.5128 0.5128 0.3803
La 0.8676 0.4872 0.0000
Tb 0.0000 0.5000 0.5000
Tb 0.0572 0.7101 0.0000
Tb 0.2899 0.2899 0.3471
Tb 0.5000 0.0000 0.5000
Tb 0.7101 0.0572 0.0000
Tb 0.9428 0.9428 0.6529
Er 0.5000 0.5000 0.0000

Summary:
- Formation energy: 304.0 kJ/mol of formula units
- Symmetry: I-42m (121)
- Mass density: 7.145 g/cm3
- VASP energy: -48.903 eV per cell

---

Below is a relaxed structure of La4Tb2Er5, with properties calculated at the PBE level.

a b c (Å): 3.5604 9.5047 11.2359
angles (deg): 82.95 85.79 88.44
Fractional coordinates of all 11 atoms:
La 0.2184 0.3725 0.1626
La 0.2346 0.8324 0.5008
La 0.7654 0.1676 0.4992
La 0.7816 0.6275 0.8374
Tb 0.2804 0.9761 0.7535
Tb 0.7196 0.0239 0.2465
Er 0.0000 0.5000 0.5000
Er 0.2410 0.8462 0.0370
Er 0.3371 0.3377 0.7413
Er 0.6629 0.6623 0.2587
Er 0.7590 0.1538 0.9630

Summary:
- Relative energy among the computed polymorphs: 0.00 eV/f.u.
- Formation energy: 153.0 kJ/mol of formula units
- Symmetry: P-1 (2)
- Mass density: 7.545 g/cm3
- VASP energy: -50.199 eV per cell

---

Below is a relaxed structure of La8Tb6Er, with properties calculated at the PBE level.

a b c (Å): 9.4700 9.4700 6.7082
angles (deg): 90.00 90.00 120.00
Fractional coordinates of all 15 atoms:
La 0.0413 0.7499 0.3326
La 0.2501 0.2914 0.3326
La 0.2914 0.0413 0.6674
La 0.3333 0.6667 0.3811
La 0.6667 0.3333 0.6189
La 0.7086 0.9587 0.3326
La 0.7499 0.7086 0.6674
La 0.9587 0.2501 0.6674
Tb 0.0958 0.6612 0.8491
Tb 0.3388 0.4347 0.8491
Tb 0.4347 0.0958 0.1509
Tb 0.5653 0.9042 0.8491
Tb 0.6612 0.5653 0.1509
Tb 0.9042 0.3388 0.1509
Er 0.0000 0.0000 0.0000

Summary:
- Formation energy: 230.5 kJ/mol of formula units
- Symmetry: P-3 (147)
- Mass density: 7.114 g/cm3
- VASP energy: -69.375 eV per cell

---

Below is a relaxed structure of La2Tb8Er, with properties calculated at the PBE level.

a b c (Å): 10.0838 10.0838 5.6554
angles (deg): 92.42 92.42 41.06
Fractional coordinates of all 11 atoms:
La 0.2164 0.2164 0.2570
La 0.7836 0.7836 0.7430
Tb 0.0445 0.0445 0.2360
Tb 0.1062 0.6398 0.2640
Tb 0.3176 0.3176 0.7679
Tb 0.3602 0.8938 0.7360
Tb 0.6398 0.1062 0.2640
Tb 0.6824 0.6824 0.2321
Tb 0.8938 0.3602 0.7360
Tb 0.9555 0.9555 0.7640
Er 0.5000 0.5000 0.0000

Summary:
- Relative energy among the computed polymorphs: 1.70 eV/f.u.
- Formation energy: 190.9 kJ/mol of formula units
- Symmetry: C2/m (12)
- Mass density: 7.554 g/cm3
- VASP energy: -49.482 eV per cell

---

Below is a relaxed structure of La6Tb12Er, with properties calculated at the PBE level.

a b c (Å): 8.8063 8.8063 8.8063
angles (deg): 78.75 78.75 78.75
Fractional coordinates of all 19 atoms:
La 0.2660 0.2660 0.6619
La 0.2660 0.6619 0.2660
La 0.3381 0.7340 0.7340
La 0.6619 0.2660 0.2660
La 0.7340 0.3381 0.7340
La 0.7340 0.7340 0.3381
Tb 0.0107 0.3608 0.3608
Tb 0.0126 0.0126 0.6951
Tb 0.0126 0.6951 0.0126
Tb 0.3049 0.9874 0.9874
Tb 0.3608 0.0107 0.3608
Tb 0.3608 0.3608 0.0107
Tb 0.6392 0.6392 0.9893
Tb 0.6392 0.9893 0.6392
Tb 0.6951 0.0126 0.0126
Tb 0.9874 0.3049 0.9874
Tb 0.9874 0.9874 0.3049
Tb 0.9893 0.6392 0.6392
Er 0.5000 0.5000 0.5000

Summary:
- Relative energy among the computed polymorphs: 0.00 eV/f.u.
- Formation energy: 240.2 kJ/mol of formula units
- Symmetry: R-3m (166)
- Mass density: 7.450 g/cm3
- VASP energy: -87.201 eV per cell

---

Below is a relaxed structure of LaTb4Er3, with properties calculated at the PBE level.

a b c (Å): 11.9198 11.9198 11.9198
angles (deg): 163.36 147.40 36.81
Fractional coordinates of all 8 atoms:
La 0.0000 0.0000 0.0000
Tb 0.1315 0.8736 0.2579
Tb 0.3844 0.1264 0.2579
Tb 0.6156 0.8736 0.7421
Tb 0.8685 0.1264 0.7421
Er 0.2601 0.2601 0.0000
Er 0.5000 0.5000 0.0000
Er 0.7399 0.7399 0.0000

Summary:
- Relative energy among the computed polymorphs: 1.18 eV/f.u.
- Formation energy: 126.4 kJ/mol of formula units
- Symmetry: Immm (71)
- Mass density: 8.120 g/cm3
- VASP energy: -35.827 eV per cell

---

Below is a relaxed structure of LaTb12Er6, with properties calculated at the PBE level.

a b c (Å): 8.5272 8.5272 8.5272
angles (deg): 88.54 88.54 88.54
Fractional coordinates of all 19 atoms:
La 0.0000 0.0000 0.0000
Tb 0.0108 0.3579 0.2067
Tb 0.2067 0.0108 0.3579
Tb 0.2249 0.5660 0.4573
Tb 0.3579 0.2067 0.0108
Tb 0.4340 0.5427 0.7751
Tb 0.4573 0.2249 0.5660
Tb 0.5427 0.7751 0.4340
Tb 0.5660 0.4573 0.2249
Tb 0.6421 0.7933 0.9892
Tb 0.7751 0.4340 0.5427
Tb 0.7933 0.9892 0.6421
Tb 0.9892 0.6421 0.7933
Er 0.0949 0.2579 0.6896
Er 0.2579 0.6896 0.0949
Er 0.3104 0.9051 0.7421
Er 0.6896 0.0949 0.2579
Er 0.7421 0.3104 0.9051
Er 0.9051 0.7421 0.3104

Summary:
- Relative energy among the computed polymorphs: 0.00 eV/f.u.
- Formation energy: 277.7 kJ/mol of formula units
- Symmetry: R-3 (148)
- Mass density: 8.175 g/cm3
- VASP energy: -84.990 eV per cell

---

Below is a relaxed structure of LaTb4Er5, with properties calculated at the PBE level.

a b c (Å): 3.5512 6.6393 14.2179
angles (deg): 98.95 93.68 103.21
Fractional coordinates of all 10 atoms:
La 0.0000 0.0000 0.0000
Tb 0.1117 0.8044 0.2189
Tb 0.2060 0.7303 0.8015
Tb 0.7940 0.2697 0.1985
Tb 0.8883 0.1956 0.7811
Er 0.2057 0.8817 0.5826
Er 0.4956 0.4279 0.6115
Er 0.5000 0.5000 0.0000
Er 0.5044 0.5721 0.3885
Er 0.7943 0.1183 0.4174

Summary:
- Relative energy among the computed polymorphs: 0.00 eV/f.u.
- Formation energy: 63.8 kJ/mol of formula units
- Symmetry: P-1 (2)
- Mass density: 8.343 g/cm3
- VASP energy: -45.602 eV per cell

---

Below is a relaxed structure of La4TbEr2, with properties calculated at the PBE level.

a b c (Å): 9.0754 9.0754 9.0754
angles (deg): 134.86 100.75 96.21
Fractional coordinates of all 14 atoms:
La 0.1531 0.1534 0.9997
La 0.2576 0.2254 0.4678
La 0.2576 0.7898 0.0322
La 0.3463 0.8466 0.4997
La 0.6537 0.1534 0.5003
La 0.7424 0.2102 0.9678
La 0.7424 0.7746 0.5322
La 0.8469 0.8466 0.0003
Tb 0.0000 0.0000 0.5000
Tb 0.0000 0.5000 0.0000
Er 0.0000 0.5000 0.5000
Er 0.4648 0.7148 0.7500
Er 0.5000 0.5000 0.0000
Er 0.5352 0.2852 0.2500

Summary:
- Formation energy: 154.5 kJ/mol of formula units
- Symmetry: Imma (74)
- Mass density: 7.128 g/cm3
- VASP energy: -63.729 eV per cell

---

Below is a relaxed structure of LaTb12Er6, with properties calculated at the PBE level.

a b c (Å): 9.2960 9.2960 9.2960
angles (deg): 107.67 107.67 107.67
Fractional coordinates of all 19 atoms:
La 0.0000 0.0000 0.0000
Tb 0.1109 0.5000 0.8891
Tb 0.1109 0.8891 0.5000
Tb 0.1574 0.3752 0.3752
Tb 0.3752 0.1574 0.3752
Tb 0.3752 0.3752 0.1574
Tb 0.5000 0.1109 0.8891
Tb 0.5000 0.8891 0.1109
Tb 0.6248 0.6248 0.8426
Tb 0.6248 0.8426 0.6248
Tb 0.8426 0.6248 0.6248
Tb 0.8891 0.1109 0.5000
Tb 0.8891 0.5000 0.1109
Er 0.2628 0.6893 0.6893
Er 0.3107 0.3107 0.7372
Er 0.3107 0.7372 0.3107
Er 0.6893 0.2628 0.6893
Er 0.6893 0.6893 0.2628
Er 0.7372 0.3107 0.3107

Summary:
- Relative energy among the computed polymorphs: 5.15 eV/f.u.
- Formation energy: 774.6 kJ/mol of formula units
- Symmetry: R-3m (166)
- Mass density: 7.715 g/cm3
- VASP energy: -79.840 eV per cell

---

Below is a relaxed structure of LaTb2Er4, with properties calculated at the PBE level.

a b c (Å): 7.0635 8.5898 8.8046
angles (deg): 114.40 101.59 101.90
Fractional coordinates of all 14 atoms:
La 0.0000 0.0000 0.0000
La 0.3009 0.6635 0.5450
Tb 0.0906 0.5361 0.8399
Tb 0.4212 0.2619 0.4149
Tb 0.4989 0.9980 0.0083
Tb 0.7757 0.8397 0.2761
Er 0.1952 0.1088 0.6733
Er 0.2748 0.8380 0.2677
Er 0.3920 0.4323 0.1314
Er 0.5967 0.5457 0.8448
Er 0.6931 0.1081 0.6756
Er 0.8006 0.6621 0.5459
Er 0.8859 0.4347 0.1318
Er 0.9140 0.2599 0.4094

Summary:
- Relative energy among the computed polymorphs: 0.00 eV/f.u.
- Formation energy: 28.0 kJ/mol of formula units
- Symmetry: P1 (1)
- Mass density: 8.293 g/cm3
- VASP energy: -64.299 eV per cell